## w
## CuPPbS2 (GGA-PBE)

Data for CuPPbS2 after structural relaxation.

Geometry as CIF:
```
data_CuPPbS2
_cell_length_a 4.8109
_cell_length_b 4.8109
_cell_length_c 4.2624
_cell_angle_alpha 90.00
_cell_angle_beta 90.00
_cell_angle_gamma 90.00
_symmetry_space_group_name_H-M 'P 4/m m m'
_symmetry_Int_Tables_number 123
_symmetry_space_group_name_Hall '-P 4 2'
loop_
_atom_site_label
_atom_site_type_symbol
_atom_site_fract_x
_atom_site_fract_y
_atom_site_fract_z
Cu1 Cu 0.0000 0.0000 0.0000
P1 P 0.0000 0.0000 0.5000
Pb1 Pb 0.5000 0.5000 0.0000
S1 S 0.0000 0.5000 0.5000
```

## x
## CuPPbS2 (GGA-PBE)

Data for CuPPbS2 after structural relaxation.

Geometry as CIF:
```
data_CuPPbS2
_cell_length_a 4.8929
_cell_length_b 4.8929
_cell_length_c 4.3022
_cell_angle_alpha 90.00
_cell_angle_beta 90.00
_cell_angle_gamma 90.00
_symmetry_space_group_name_H-M 'P 4/m m m'
_symmetry_Int_Tables_number 123
_symmetry_space_group_name_Hall '-P 4 2'
loop_
_atom_site_label
_atom_site_type_symbol
_atom_site_fract_x
_atom_site_fract_y
_atom_site_fract_z
Cu1 Cu 0.0000 0.0000 0.0000
P1 P 0.0000 0.0000 0.5000
Pb1 Pb 0.5000 0.5000 0.5000
S1 S 0.0000 0.5000 0.0000
```

Most stable: w

## w
## Cu3PPd6 (GGA-PBE)

Data for Cu3PPd6 after structural relaxation.

Geometry as CIF:
```
data_Cu3PPd6
_cell_length_a 6.2958
_cell_length_b 6.3963
_cell_length_c 9.5016
_cell_angle_alpha 90.00
_cell_angle_beta 127.29
_cell_angle_gamma 90.00
_symmetry_space_group_name_H-M 'P 1 21/c 1'
_symmetry_Int_Tables_number 14
_symmetry_space_group_name_Hall '-P 2ybc'
loop_
_atom_site_label
_atom_site_type_symbol
_atom_site_fract_x
_atom_site_fract_y
_atom_site_fract_z
Cu1 Cu 0.0000 0.0000 0.0000
Cu2 Cu 0.1690 0.1743 0.7390
P1 P 0.5000 0.0000 0.5000
Pd1 Pd 0.1097 0.1376 0.4424
Pd2 Pd 0.3207 0.6721 0.4429
Pd3 Pd 0.4892 0.0691 0.2528
```

## x
## Cu3PPd6 (GGA-PBE)

Data for Cu3PPd6 after structural relaxation.

Geometry as CIF:
```
data_Cu3PPd6
_cell_length_a 7.0827
_cell_length_b 4.3888
_cell_length_c 9.7063
_cell_angle_alpha 90.00
_cell_angle_beta 107.86
_cell_angle_gamma 90.00
_symmetry_space_group_name_H-M 'P 1 21/m 1'
_symmetry_Int_Tables_number 11
_symmetry_space_group_name_Hall '-P 2yb'
loop_
_atom_site_label
_atom_site_type_symbol
_atom_site_fract_x
_atom_site_fract_y
_atom_site_fract_z
Cu1 Cu 0.0241 0.2500 0.3697
Cu2 Cu 0.0894 0.7500 0.2147
Cu3 Cu 0.2691 0.2500 0.9628
P1 P 0.4974 0.7500 0.3598
Pd1 Pd 0.0236 0.7500 0.9211
Pd2 Pd 0.1830 0.2500 0.6501
Pd3 Pd 0.2681 0.7500 0.4909
Pd4 Pd 0.3429 0.7500 0.8202
Pd5 Pd 0.3493 0.2500 0.2990
Pd6 Pd 0.4020 0.7500 0.1137
```

Most stable: x

## w
## CuPPd3 (GGA-PBE)

Data for CuPPd3 after structural relaxation.

Geometry as CIF:
```
data_CuPPd3
_cell_length_a 4.5543
_cell_length_b 4.5543
_cell_length_c 4.5543
_cell_angle_alpha 90.00
_cell_angle_beta 90.00
_cell_angle_gamma 90.00
_symmetry_space_group_name_H-M 'P m -3 m'
_symmetry_Int_Tables_number 221
_symmetry_space_group_name_Hall '-P 4 2 3'
loop_
_atom_site_label
_atom_site_type_symbol
_atom_site_fract_x
_atom_site_fract_y
_atom_site_fract_z
Cu1 Cu 0.0000 0.0000 0.0000
P1 P 0.5000 0.5000 0.5000
Pd1 Pd 0.0000 0.0000 0.5000
```

## x
## CuPPd3 (GGA-PBE)

Data for CuPPd3 after structural relaxation.

Geometry as CIF:
```
data_CuPPd3
_cell_length_a 3.7003
_cell_length_b 7.6980
_cell_length_c 11.0742
_cell_angle_alpha 90.00
_cell_angle_beta 90.00
_cell_angle_gamma 90.00
_symmetry_space_group_name_H-M 'A m m 2'
_symmetry_Int_Tables_number 38
_symmetry_space_group_name_Hall 'A 2 -2'
loop_
_atom_site_label
_atom_site_type_symbol
_atom_site_fract_x
_atom_site_fract_y
_atom_site_fract_z
Cu1 Cu 0.0000 0.0000 0.0000
Cu2 Cu 0.5000 0.0000 0.4606
P1 P 0.5000 0.2156 0.7169
Pd1 Pd 0.0000 0.1864 0.5893
Pd2 Pd 0.0000 0.1939 0.3376
Pd3 Pd 0.5000 0.0000 0.1552
Pd4 Pd 0.5000 0.0000 0.8537
```

## y
## CuPPd3 (GGA-PBE)

Data for CuPPd3 after structural relaxation.

Geometry as CIF:
```
data_CuPPd3
_cell_length_a 4.4783
_cell_length_b 6.3578
_cell_length_c 6.6262
_cell_angle_alpha 118.54
_cell_angle_beta 107.75
_cell_angle_gamma 90.13
_symmetry_space_group_name_H-M 'P 1'
_symmetry_Int_Tables_number 1
_symmetry_space_group_name_Hall 'P 1'
loop_
_atom_site_label
_atom_site_type_symbol
_atom_site_fract_x
_atom_site_fract_y
_atom_site_fract_z
Cu1 Cu 0.0000 0.0000 0.0000
Cu2 Cu 0.0932 0.2151 0.4347
P1 P 0.3847 0.6957 0.3933
P2 P 0.7108 0.5197 0.0414
Pd1 Pd 0.1208 0.4443 0.8917
Pd2 Pd 0.5465 0.8980 0.2159
Pd3 Pd 0.5477 0.1078 0.7169
Pd4 Pd 0.5480 0.3170 0.2180
Pd5 Pd 0.5475 0.6070 0.7168
Pd6 Pd 0.9746 0.7711 0.5429
```

## z
## CuPPd3 (GGA-PBE)

Data for CuPPd3 after structural relaxation.

Geometry as CIF:
```
data_CuPPd3
_cell_length_a 4.4545
_cell_length_b 4.4545
_cell_length_c 4.4545
_cell_angle_alpha 90.00
_cell_angle_beta 90.00
_cell_angle_gamma 90.00
_symmetry_space_group_name_H-M 'P m -3 m'
_symmetry_Int_Tables_number 221
_symmetry_space_group_name_Hall '-P 4 2 3'
loop_
_atom_site_label
_atom_site_type_symbol
_atom_site_fract_x
_atom_site_fract_y
_atom_site_fract_z
Cu1 Cu 0.0000 0.0000 0.0000
P1 P 0.5000 0.5000 0.5000
Pd1 Pd 0.0000 0.5000 0.5000
```

Most stable: x

## w
## CuP2Pd (GGA-PBE)

Data for CuP2Pd after structural relaxation.

Geometry as CIF:
```
data_CuP2Pd
_cell_length_a 6.1187
_cell_length_b 6.1187
_cell_length_c 6.1187
_cell_angle_alpha 90.00
_cell_angle_beta 90.00
_cell_angle_gamma 90.00
_symmetry_space_group_name_H-M 'F m -3 m'
_symmetry_Int_Tables_number 225
_symmetry_space_group_name_Hall '-F 4 2 3'
loop_
_atom_site_label
_atom_site_type_symbol
_atom_site_fract_x
_atom_site_fract_y
_atom_site_fract_z
Cu1 Cu 0.0000 0.0000 0.0000
P1 P 0.2500 0.2500 0.2500
Pd1 Pd 0.0000 0.0000 0.5000
```

## x
## CuP2Pd (GGA-PBE)

Data for CuP2Pd after structural relaxation.

Geometry as CIF:
```
data_CuP2Pd
_cell_length_a 3.9588
_cell_length_b 3.9588
_cell_length_c 15.3879
_cell_angle_alpha 90.00
_cell_angle_beta 90.00
_cell_angle_gamma 90.00
_symmetry_space_group_name_H-M 'I -4 2 d'
_symmetry_Int_Tables_number 122
_symmetry_space_group_name_Hall 'I -4 2bw'
loop_
_atom_site_label
_atom_site_type_symbol
_atom_site_fract_x
_atom_site_fract_y
_atom_site_fract_z
Cu1 Cu 0.0000 0.0000 0.0000
P1 P 0.2089 0.2500 0.1250
Pd1 Pd 0.0000 0.0000 0.5000
```

Most stable: x

## w
## Cu2PPd2 (GGA-PBE)

Data for Cu2PPd2 after structural relaxation.

Geometry as CIF:
```
data_Cu2PPd2
_cell_length_a 5.9625
_cell_length_b 5.9625
_cell_length_c 3.9588
_cell_angle_alpha 90.00
_cell_angle_beta 90.00
_cell_angle_gamma 90.00
_symmetry_space_group_name_H-M 'P 4/m b m'
_symmetry_Int_Tables_number 127
_symmetry_space_group_name_Hall '-P 4 2ab'
loop_
_atom_site_label
_atom_site_type_symbol
_atom_site_fract_x
_atom_site_fract_y
_atom_site_fract_z
Cu1 Cu 0.1433 0.3567 0.0000
P1 P 0.0000 0.0000 0.0000
Pd1 Pd 0.1662 0.6662 0.5000
```

## x
## Cu2PPd2 (GGA-PBE)

Data for Cu2PPd2 after structural relaxation.

Geometry as CIF:
```
data_Cu2PPd2
_cell_length_a 6.1606
_cell_length_b 6.1606
_cell_length_c 3.9381
_cell_angle_alpha 90.00
_cell_angle_beta 90.00
_cell_angle_gamma 90.00
_symmetry_space_group_name_H-M 'P 4/m b m'
_symmetry_Int_Tables_number 127
_symmetry_space_group_name_Hall '-P 4 2ab'
loop_
_atom_site_label
_atom_site_type_symbol
_atom_site_fract_x
_atom_site_fract_y
_atom_site_fract_z
Cu1 Cu 0.1447 0.3553 0.0000
P1 P 0.0000 0.0000 0.5000
Pd1 Pd 0.1607 0.6607 0.5000
```

## y
## Cu2PPd2 (GGA-PBE)

Data for Cu2PPd2 after structural relaxation.

Geometry as CIF:
```
data_Cu2PPd2
_cell_length_a 6.9949
_cell_length_b 7.2555
_cell_length_c 5.4993
_cell_angle_alpha 90.00
_cell_angle_beta 90.00
_cell_angle_gamma 90.00
_symmetry_space_group_name_H-M 'C c c 2'
_symmetry_Int_Tables_number 37
_symmetry_space_group_name_Hall 'C 2 -2c'
loop_
_atom_site_label
_atom_site_type_symbol
_atom_site_fract_x
_atom_site_fract_y
_atom_site_fract_z
Cu1 Cu 0.0479 0.1934 0.0000
P1 P 0.2500 0.2500 0.3330
Pd1 Pd 0.2006 0.4478 0.6768
```

Most stable: y

## w
## PmCu4P2 (GGA-PBE)

Data for PmCu4P2 after structural relaxation.

Geometry as CIF:
```
data_PmCu4P2
_cell_length_a 7.3324
_cell_length_b 7.3324
_cell_length_c 3.8323
_cell_angle_alpha 90.00
_cell_angle_beta 90.00
_cell_angle_gamma 90.00
_symmetry_space_group_name_H-M 'P 42/m n m'
_symmetry_Int_Tables_number 136
_symmetry_space_group_name_Hall '-P 4n 2n'
loop_
_atom_site_label
_atom_site_type_symbol
_atom_site_fract_x
_atom_site_fract_y
_atom_site_fract_z
Pm1 Pm 0.0000 0.0000 0.0000
Cu1 Cu 0.0838 0.3363 0.5000
P1 P 0.2145 0.7855 0.5000
```

## x
## PmCu4P2 (GGA-PBE)

Data for PmCu4P2 after structural relaxation.

Geometry as CIF:
```
data_PmCu4P2
_cell_length_a 4.0264
_cell_length_b 4.0264
_cell_length_c 22.3694
_cell_angle_alpha 90.00
_cell_angle_beta 90.00
_cell_angle_gamma 120.00
_symmetry_space_group_name_H-M 'R -3 m'
_symmetry_Int_Tables_number 166
_symmetry_space_group_name_Hall '-R 3 2"'
loop_
_atom_site_label
_atom_site_type_symbol
_atom_site_fract_x
_atom_site_fract_y
_atom_site_fract_z
Pm1 Pm 0.0000 0.0000 0.0000
Cu1 Cu 0.0000 0.0000 0.1465
Cu2 Cu 0.0000 0.0000 0.4312
P1 P 0.0000 0.0000 0.2512
```

Most stable: w

## w
## PmCuP (GGA-PBE)

Data for PmCuP after structural relaxation.

Geometry as CIF:
```
data_PmCuP
_cell_length_a 6.9803
_cell_length_b 4.1339
_cell_length_c 8.5926
_cell_angle_alpha 90.00
_cell_angle_beta 90.00
_cell_angle_gamma 90.00
_symmetry_space_group_name_H-M 'P n m a'
_symmetry_Int_Tables_number 62
_symmetry_space_group_name_Hall '-P 2ac 2n'
loop_
_atom_site_label
_atom_site_type_symbol
_atom_site_fract_x
_atom_site_fract_y
_atom_site_fract_z
Pm1 Pm 0.1537 0.2500 0.1564
Cu1 Cu 0.0231 0.7500 0.4102
P1 P 0.1460 0.2500 0.8263
```

## x
## PmCuP (GGA-PBE)

Data for PmCuP after structural relaxation.

Geometry as CIF:
```
data_PmCuP
_cell_length_a 3.9790
_cell_length_b 3.9790
_cell_length_c 7.9219
_cell_angle_alpha 90.00
_cell_angle_beta 90.00
_cell_angle_gamma 90.00
_symmetry_space_group_name_H-M 'I 4 m m'
_symmetry_Int_Tables_number 107
_symmetry_space_group_name_Hall 'I 4 -2'
loop_
_atom_site_label
_atom_site_type_symbol
_atom_site_fract_x
_atom_site_fract_y
_atom_site_fract_z
Pm1 Pm 0.0000 0.0000 0.0000
Cu1 Cu 0.0000 0.0000 0.6478
P1 P 0.0000 0.0000 0.3611
```

## y
## PmCuP (GGA-PBE)

Data for PmCuP after structural relaxation.

Geometry as CIF:
```
data_PmCuP
_cell_length_a 3.9958
_cell_length_b 3.9958
_cell_length_c 4.0879
_cell_angle_alpha 90.00
_cell_angle_beta 90.00
_cell_angle_gamma 120.00
_symmetry_space_group_name_H-M 'P -6 m 2'
_symmetry_Int_Tables_number 187
_symmetry_space_group_name_Hall 'P -6 2'
loop_
_atom_site_label
_atom_site_type_symbol
_atom_site_fract_x
_atom_site_fract_y
_atom_site_fract_z
Pm1 Pm 0.0000 0.0000 0.0000
Cu1 Cu 0.3333 0.6667 0.5000
P1 P 0.6667 0.3333 0.5000
```

## z
## PmCuP (GGA-PBE)

Data for PmCuP after structural relaxation.

Geometry as CIF:
```
data_PmCuP
_cell_length_a 6.2034
_cell_length_b 6.2034
_cell_length_c 6.2034
_cell_angle_alpha 90.00
_cell_angle_beta 90.00
_cell_angle_gamma 90.00
_symmetry_space_group_name_H-M 'F -4 3 m'
_symmetry_Int_Tables_number 216
_symmetry_space_group_name_Hall 'F -4 2 3'
loop_
_atom_site_label
_atom_site_type_symbol
_atom_site_fract_x
_atom_site_fract_y
_atom_site_fract_z
Pm1 Pm 0.0000 0.0000 0.0000
Cu1 Cu 0.2500 0.2500 0.7500
P1 P 0.0000 0.0000 0.5000
```

Most stable: y

## w
## Pm2CuP (GGA-PBE)

Data for Pm2CuP after structural relaxation.

Geometry as CIF:
```
data_Pm2CuP
_cell_length_a 3.6336
_cell_length_b 3.6336
_cell_length_c 6.8207
_cell_angle_alpha 90.00
_cell_angle_beta 90.00
_cell_angle_gamma 90.00
_symmetry_space_group_name_H-M 'P 4/m m m'
_symmetry_Int_Tables_number 123
_symmetry_space_group_name_Hall '-P 4 2'
loop_
_atom_site_label
_atom_site_type_symbol
_atom_site_fract_x
_atom_site_fract_y
_atom_site_fract_z
Pm1 Pm 0.0000 0.0000 0.2370
Cu1 Cu 0.5000 0.5000 0.5000
P1 P 0.5000 0.5000 0.0000
```

## x
## Pm2CuP (GGA-PBE)

Data for Pm2CuP after structural relaxation.

Geometry as CIF:
```
data_Pm2CuP
_cell_length_a 7.0759
_cell_length_b 7.0759
_cell_length_c 7.0759
_cell_angle_alpha 90.00
_cell_angle_beta 90.00
_cell_angle_gamma 90.00
_symmetry_space_group_name_H-M 'F m -3 m'
_symmetry_Int_Tables_number 225
_symmetry_space_group_name_Hall '-F 4 2 3'
loop_
_atom_site_label
_atom_site_type_symbol
_atom_site_fract_x
_atom_site_fract_y
_atom_site_fract_z
Pm1 Pm 0.2500 0.2500 0.2500
Cu1 Cu 0.0000 0.0000 0.0000
P1 P 0.0000 0.0000 0.5000
```

Most stable: w

## w
## CuPPt (GGA-PBE)

Data for CuPPt after structural relaxation.

Geometry as CIF:
```
data_CuPPt
_cell_length_a 5.6331
_cell_length_b 5.6331
_cell_length_c 5.6331
_cell_angle_alpha 90.00
_cell_angle_beta 90.00
_cell_angle_gamma 90.00
_symmetry_space_group_name_H-M 'F -4 3 m'
_symmetry_Int_Tables_number 216
_symmetry_space_group_name_Hall 'F -4 2 3'
loop_
_atom_site_label
_atom_site_type_symbol
_atom_site_fract_x
_atom_site_fract_y
_atom_site_fract_z
Cu1 Cu 0.0000 0.0000 0.0000
P1 P 0.2500 0.2500 0.7500
Pt1 Pt 0.0000 0.0000 0.5000
```

## x
## CuPPt (GGA-PBE)

Data for CuPPt after structural relaxation.

Geometry as CIF:
```
data_CuPPt
_cell_length_a 5.7785
_cell_length_b 5.7785
_cell_length_c 5.7785
_cell_angle_alpha 90.00
_cell_angle_beta 90.00
_cell_angle_gamma 90.00
_symmetry_space_group_name_H-M 'F -4 3 m'
_symmetry_Int_Tables_number 216
_symmetry_space_group_name_Hall 'F -4 2 3'
loop_
_atom_site_label
_atom_site_type_symbol
_atom_site_fract_x
_atom_site_fract_y
_atom_site_fract_z
Cu1 Cu 0.0000 0.0000 0.0000
P1 P 0.0000 0.0000 0.5000
Pt1 Pt 0.2500 0.2500 0.7500
```

Most stable: w

## w
## CuPPt (GGA-PBE)

Data for CuPPt after structural relaxation.

Geometry as CIF:
```
data_CuPPt
_cell_length_a 3.0041
_cell_length_b 3.0041
_cell_length_c 5.5482
_cell_angle_alpha 90.00
_cell_angle_beta 90.00
_cell_angle_gamma 120.00
_symmetry_space_group_name_H-M 'P 3 m 1'
_symmetry_Int_Tables_number 156
_symmetry_space_group_name_Hall 'P 3 -2"'
loop_
_atom_site_label
_atom_site_type_symbol
_atom_site_fract_x
_atom_site_fract_y
_atom_site_fract_z
Cu1 Cu 0.0000 0.0000 0.0000
P1 P 0.6667 0.3333 0.3175
Pt1 Pt 0.3333 0.6667 0.6212
```

## x
## CuPPt (GGA-PBE)

Data for CuPPt after structural relaxation.

Geometry as CIF:
```
data_CuPPt
_cell_length_a 4.1406
_cell_length_b 4.1406
_cell_length_c 2.8803
_cell_angle_alpha 90.00
_cell_angle_beta 90.00
_cell_angle_gamma 120.00
_symmetry_space_group_name_H-M 'P -6 m 2'
_symmetry_Int_Tables_number 187
_symmetry_space_group_name_Hall 'P -6 2'
loop_
_atom_site_label
_atom_site_type_symbol
_atom_site_fract_x
_atom_site_fract_y
_atom_site_fract_z
Cu1 Cu 0.0000 0.0000 0.0000
P1 P 0.6667 0.3333 0.5000
Pt1 Pt 0.3333 0.6667 0.5000
```

Most stable: x